The following is a PBE calculation of a relaxed KMoOs4 crystal, from Alexandria via LeMat-Bulk.

a = 5.245 Å, b = 5.245 Å, c = 5.245 Å
α = 60.00°, β = 60.00°, γ = 60.00°
Fractional positions:
K: 0.750 0.750 0.750
Mo: 0.000 0.000 0.000
Os: 0.875 0.375 0.375
Os: 0.375 0.375 0.875
Os: 0.375 0.875 0.375
Os: 0.375 0.375 0.375

The space-group type is No. 216. As for the formation energy: 23.2 kcal/mol of atoms. The calculation puts the total moment at 0.0 μB/f.u.

***

The following is a PBE calculation of a relaxed KMoOs2 crystal, from Alexandria via LeMat-Bulk.

a = 3.830 Å, b = 2.748 Å, c = 8.490 Å
α = 70.70°, β = 90.00°, γ = 90.00°
Fractional positions:
K: 0.500 0.250 0.250
Mo: 0.500 0.750 0.750
Os: 0.000 0.086 0.911
Os: 0.000 0.414 0.589

The space-group type is No. 10. As for the formation energy: 19.9 kcal/mol of atoms. The relative energy among the computed polymorphs comes out at 0.80 eV/f.u. The calculation puts the total moment at 0.0 μB/f.u.

***

The following is a PBE calculation of a relaxed KMoOs2 crystal, from Alexandria via LeMat-Bulk.

a = 2.732 Å, b = 2.732 Å, c = 10.601 Å
α = 90.00°, β = 90.00°, γ = 116.25°
Fractional positions:
K: 0.000 0.000 0.491
Mo: 0.500 0.500 0.790
Os: 0.000 0.000 0.002
Os: 0.500 0.500 0.217

The space-group type is No. 35. As for the formation energy: 23.0 kcal/mol of atoms. The relative energy among the computed polymorphs comes out at 1.33 eV/f.u. The calculation puts the total moment at 0.0 μB/f.u.

***

The following is a PBE calculation of a relaxed KMoOs2 crystal, from Alexandria via LeMat-Bulk.

a = 2.796 Å, b = 4.825 Å, c = 4.966 Å
α = 90.00°, β = 90.00°, γ = 90.00°
Fractional positions:
K: 0.500 0.000 0.500
Mo: 0.000 0.500 0.500
Os: 0.000 0.000 0.000
Os: 0.500 0.500 0.000

The space-group type is No. 47. As for the formation energy: 37.2 kcal/mol of atoms. The relative energy among the computed polymorphs comes out at 3.79 eV/f.u. The calculation puts the total moment at 0.0 μB/f.u.

***

The following is a PBE calculation of a relaxed KMoOs2 crystal, from Alexandria via LeMat-Bulk.

a = 2.710 Å, b = 3.825 Å, c = 8.356 Å
α = 90.00°, β = 90.00°, γ = 90.00°
Fractional positions:
K: 0.000 0.000 0.481
Mo: 0.500 0.500 0.843
Os: 0.000 0.000 0.022
Os: 0.500 0.500 0.154

The space-group type is No. 25. As for the formation energy: 19.7 kcal/mol of atoms. The relative energy among the computed polymorphs comes out at 0.76 eV/f.u. The calculation puts the total moment at 0.0 μB/f.u.

***

The following is a PBE calculation of a relaxed KMoOs2 crystal, from Alexandria via LeMat-Bulk.

a = 10.402 Å, b = 10.402 Å, c = 10.402 Å
α = 15.44°, β = 15.44°, γ = 15.44°
Fractional positions:
K: 0.250 0.250 0.250
Mo: 0.750 0.750 0.750
Os: 0.012 0.012 0.012
Os: 0.488 0.488 0.488

The space-group type is No. 166. As for the formation energy: 15.3 kcal/mol of atoms. The relative energy among the computed polymorphs comes out at 0.00 eV/f.u. The calculation puts the total moment at 0.0 μB/f.u.

***

The following is a PBE calculation of a relaxed KMoOs2 crystal, from Alexandria via LeMat-Bulk.

a = 6.308 Å, b = 5.438 Å, c = 2.557 Å
α = 85.62°, β = 74.11°, γ = 121.04°
Fractional positions:
K: 0.000 0.500 0.500
Mo: 0.500 0.500 0.000
Os: 0.000 0.000 0.000
Os: 0.500 0.000 0.500

The space-group type is No. 12. As for the formation energy: 33.5 kcal/mol of atoms. The relative energy among the computed polymorphs comes out at 3.15 eV/f.u. The calculation puts the total moment at 0.0 μB/f.u.

***

The following is a PBE calculation of a relaxed KMoOs crystal, from Alexandria via LeMat-Bulk.

a = 8.555 Å, b = 8.369 Å, c = 2.773 Å
α = 84.39°, β = 76.80°, γ = 18.82°
Fractional positions:
K: 0.007 0.007 0.993
Mo: 0.311 0.311 0.689
Os: 0.682 0.682 0.318

The space-group type is No. 42. As for the formation energy: 23.5 kcal/mol of atoms. The relative energy among the computed polymorphs comes out at 0.44 eV/f.u. The calculation puts the total moment at 0.0 μB/f.u.

***

The following is a PBE calculation of a relaxed KMoOs2 crystal, from Alexandria via LeMat-Bulk.

a = 2.583 Å, b = 5.283 Å, c = 5.283 Å
α = 90.00°, β = 90.00°, γ = 90.00°
Last column: magnetic moment on the atom in μB.
Fractional positions:
K: 0.500 0.500 0.000  0.00
Mo: 0.500 0.000 0.500  -0.06
Os: 0.000 0.000 0.000  0.39
Os: 0.000 0.500 0.500  0.39

The space-group type is No. 123. As for the formation energy: 36.4 kcal/mol of atoms. The relative energy among the computed polymorphs comes out at 3.66 eV/f.u. The calculation puts the total moment at 0.8 μB/f.u.

***

The following is a PBE calculation of a relaxed K3MoOs crystal, from Alexandria via LeMat-Bulk.

a = 6.201 Å, b = 6.201 Å, c = 6.201 Å
α = 90.00°, β = 90.00°, γ = 90.00°
Last column: magnetic moment on the atom in μB.
Fractional positions:
Mo: 0.500 0.500 0.500  3.96
Os: 0.000 0.000 0.000  1.85
K: 0.000 0.500 0.000  0.01
K: 0.000 0.000 0.500  0.01
K: 0.500 0.000 0.000  0.01

The space-group type is No. 221. As for the formation energy: 47.8 kcal/mol of atoms. The relative energy among the computed polymorphs comes out at 0.00 eV/f.u. The calculation puts the total moment at 7.0 μB/f.u.

***

The following is a PBE calculation of a relaxed KMoOs2 crystal, from Alexandria via LeMat-Bulk.

a = 2.754 Å, b = 2.754 Å, c = 9.936 Å
α = 90.00°, β = 90.00°, γ = 90.00°
Fractional positions:
K: 0.000 0.000 0.480
Mo: 0.500 0.500 0.808
Os: 0.000 0.000 0.018
Os: 0.500 0.500 0.193

The space-group type is No. 99. As for the formation energy: 19.0 kcal/mol of atoms. The relative energy among the computed polymorphs comes out at 0.63 eV/f.u. The calculation puts the total moment at 0.0 μB/f.u.

***

The following is a PBE calculation of a relaxed KMoOs crystal, from Alexandria via LeMat-Bulk.

a = 2.858 Å, b = 2.858 Å, c = 8.172 Å
α = 90.00°, β = 90.00°, γ = 120.00°
Fractional positions:
K: 0.000 0.000 0.988
Mo: 0.333 0.667 0.381
Os: 0.667 0.333 0.631

The space-group type is No. 156. As for the formation energy: 20.6 kcal/mol of atoms. The relative energy among the computed polymorphs comes out at 0.07 eV/f.u. The calculation puts the total moment at 0.0 μB/f.u.

***

The following is a PBE calculation of a relaxed KMoOs2 crystal, from Alexandria via LeMat-Bulk.

a = 4.825 Å, b = 4.825 Å, c = 7.015 Å
α = 82.21°, β = 82.21°, γ = 34.39°
Fractional positions:
K: 0.750 0.750 0.750
Mo: 0.250 0.250 0.250
Os: 0.969 0.969 0.112
Os: 0.531 0.531 0.388

The space-group type is No. 12. As for the formation energy: 22.2 kcal/mol of atoms. The relative energy among the computed polymorphs comes out at 1.19 eV/f.u. The calculation puts the total moment at 0.0 μB/f.u.

***

The following is a PBE calculation of a relaxed KMo3Os crystal, from Alexandria via LeMat-Bulk.

a = 4.907 Å, b = 4.907 Å, c = 4.907 Å
α = 90.00°, β = 90.00°, γ = 90.00°
Last column: magnetic moment on the atom in μB.
Fractional positions:
Mo: 0.000 0.500 0.000  0.99
Mo: 0.000 0.000 0.500  0.93
Mo: 0.500 0.000 0.000  0.97
Os: 0.000 0.000 0.000  -0.14
K: 0.500 0.500 0.500  0.03

The space-group type is No. 221. As for the formation energy: 38.6 kcal/mol of atoms. The relative energy among the computed polymorphs comes out at 0.00 eV/f.u. The calculation puts the total moment at 3.3 μB/f.u.

***

The following is a PBE calculation of a relaxed KMoOs3 crystal, from Alexandria via LeMat-Bulk.

a = 4.475 Å, b = 4.475 Å, c = 4.475 Å
α = 90.00°, β = 90.00°, γ = 90.00°
Fractional positions:
Mo: 0.500 0.500 0.500
Os: 0.000 0.500 0.000
Os: 0.000 0.000 0.500
Os: 0.500 0.000 0.000
K: 0.000 0.000 0.000

The space-group type is No. 221. As for the formation energy: 88.3 kcal/mol of atoms. The relative energy among the computed polymorphs comes out at 8.95 eV/f.u. The calculation puts the total moment at 0.0 μB/f.u.

***

The following is a PBE calculation of a relaxed K2MoOs2 crystal, from Alexandria via LeMat-Bulk.

a = 6.347 Å, b = 6.347 Å, c = 5.983 Å
α = 90.00°, β = 90.00°, γ = 90.00°
Fractional positions:
Mo: 0.000 0.000 0.000
Mo: 0.500 0.500 0.000
Os: 0.366 0.866 0.000
Os: 0.866 0.634 0.000
Os: 0.634 0.134 0.000
Os: 0.134 0.366 0.000
K: 0.177 0.677 0.500
K: 0.677 0.823 0.500
K: 0.823 0.323 0.500
K: 0.323 0.177 0.500

The space-group type is No. 127. As for the formation energy: 23.2 kcal/mol of atoms. The relative energy among the computed polymorphs comes out at 0.00 eV/f.u. The calculation puts the total moment at 0.0 μB/f.u.

***

The following is a PBE calculation of a relaxed KMoOs2 crystal, from Alexandria via LeMat-Bulk.

a = 2.838 Å, b = 2.838 Å, c = 9.275 Å
α = 90.00°, β = 90.00°, γ = 90.00°
Fractional positions:
K: 0.500 0.500 0.250
Mo: 0.500 0.500 0.750
Os: 0.000 0.000 0.944
Os: 0.000 0.000 0.556

The space-group type is No. 123. As for the formation energy: 19.1 kcal/mol of atoms. The relative energy among the computed polymorphs comes out at 0.65 eV/f.u. The calculation puts the total moment at 0.0 μB/f.u.

***

The following is a PBE calculation of a relaxed KMoOs2 crystal, from Alexandria via LeMat-Bulk.

a = 7.487 Å, b = 7.487 Å, c = 6.027 Å
α = 51.60°, β = 51.60°, γ = 90.00°
Fractional positions:
Mo: 0.000 0.000 0.000
Mo: 0.750 0.250 0.500
Os: 0.683 0.125 0.250
Os: 0.067 0.625 0.250
Os: 0.375 0.317 0.750
Os: 0.875 0.933 0.750
K: 0.500 0.500 0.000
K: 0.250 0.750 0.500

The space-group type is No. 122. As for the formation energy: 35.8 kcal/mol of atoms. The relative energy among the computed polymorphs comes out at 3.55 eV/f.u. The calculation puts the total moment at 0.0 μB/f.u.

***

The following is a PBE calculation of a relaxed KMoOs2 crystal, from Alexandria via LeMat-Bulk.

a = 4.881 Å, b = 4.881 Å, c = 6.739 Å
α = 84.30°, β = 84.30°, γ = 32.80°
Fractional positions:
K: 0.497 0.497 0.508
Mo: 0.279 0.279 0.149
Os: 0.003 0.003 0.991
Os: 0.721 0.721 0.852

The space-group type is No. 8. As for the formation energy: 23.4 kcal/mol of atoms. The relative energy among the computed polymorphs comes out at 1.40 eV/f.u. The calculation puts the total moment at 0.0 μB/f.u.

***

The following is a PBE calculation of a relaxed KMoOs2 crystal, from Alexandria via LeMat-Bulk.

a = 6.135 Å, b = 6.135 Å, c = 6.135 Å
α = 154.94°, β = 129.28°, γ = 57.38°
Fractional positions:
K: 0.504 0.504 0.000
Mo: 0.210 0.710 0.500
Os: 0.996 0.996 0.000
Os: 0.791 0.291 0.500

The space-group type is No. 44. As for the formation energy: 26.3 kcal/mol of atoms. The relative energy among the computed polymorphs comes out at 1.90 eV/f.u. The calculation puts the total moment at 0.0 μB/f.u.